Record 1
Entry from Alexandria: an optimized crystal structure of LaPr2Ho3 (PBE-GGA).

Summary:
Formation energy from the elements   0.12 eV/atom
Total DFT energy (no corrections)   -110.0 eV for the cell shown

a b c (Å): 23.3993 3.5478 10.5112
angles (deg): 90.00 108.90 90.00
Space group C2/m (No. 12)
Symmetry-distinct sites (fractional):
La1 0.1870 0.0000 0.0348 (multiplicity 4)
Pr1 0.0648 0.5000 0.1429 (multiplicity 4)
Pr2 0.1900 0.0000 0.3715 (multiplicity 4)
Ho1 0.0594 0.0000 0.4500 (multiplicity 4)
Ho2 0.0690 0.5000 0.7556 (multiplicity 4)
Ho3 0.1956 0.0000 0.7157 (multiplicity 4)


Record 2
Entry from Alexandria: an optimized crystal structure of Ho2NiSn2 (PBE-GGA).

Summary:
Formation energy from the elements   -0.67 eV/atom
Total DFT energy (no corrections)   -105.1 eV for the cell shown

a b c (Å): 10.8604 4.4223 10.8251
angles (deg): 90.00 116.79 90.00
Space group C2/m (No. 12)
Symmetry-distinct sites (fractional):
Ho1 0.9997 0.0000 0.1683 (multiplicity 4)
Ho2 0.1838 0.0000 0.6177 (multiplicity 4)
Ni1 0.2161 0.5000 0.8341 (multiplicity 4)
Sn1 0.0284 0.5000 0.3787 (multiplicity 4)
Sn2 0.1602 0.5000 0.0594 (multiplicity 4)


Record 3
Entry from Alexandria: an optimized crystal structure of K2TlHg10 (PBE-GGA).

Summary:
Formation energy from the elements   -0.07 eV/atom
Total DFT energy (no corrections)   -17.0 eV for the cell shown

a b c (Å): 11.8613 12.8918 6.2935
angles (deg): 90.00 90.00 90.00
Space group Pbam (No. 55)
Symmetry-distinct sites (fractional):
K1 0.1264 0.1395 0.0000 (multiplicity 4)
Tl1 0.0000 0.5000 0.5000 (multiplicity 2)
Hg1 0.0193 0.8831 0.5000 (multiplicity 4)
Hg2 0.1025 0.6950 0.2346 (multiplicity 8)
Hg3 0.1803 0.2936 0.5000 (multiplicity 4)
Hg4 0.2314 0.0249 0.5000 (multiplicity 4)


Record 4
Entry from Alexandria: an optimized crystal structure of TmSnH (PBE-GGA).

Summary:
Total DFT energy (no corrections)   -13.7 eV for the cell shown

a b c (Å): 3.5690 3.5690 5.0519
angles (deg): 90.00 90.00 120.00
Space group P-6m2 (No. 187)
Symmetry-distinct sites (fractional):
Tm1 0.0000 0.0000 0.0000 (multiplicity 1)
Sn1 0.6667 0.3333 0.5000 (multiplicity 1)
H1 0.3333 0.6667 0.0000 (multiplicity 1)